# CrPOs3

A relaxed structure of CrPOs3 (PBE, the Alexandria database).

Properties
theoretical density: 12.408 g/cm³
energy: -7.77 eV/atom
formation energy: 1.98 eV per atom
relative energy among the computed polymorphs: 1074 meV/atom

Structure (CIF):
```
data_CrPOs3
_space_group_name_H-M_alt 'P m -3 m'
_space_group_IT_number 221
_space_group_name_Hall '-P 4 2 3'
_cell_length_a 4.439
_cell_length_b 4.439
_cell_length_c 4.439
_cell_angle_alpha 90.00
_cell_angle_beta 90.00
_cell_angle_gamma 90.00
loop_
_atom_site_label
_atom_site_fract_x
_atom_site_fract_y
_atom_site_fract_z
_atom_site_occupancy
Cr1 0.000 0.000 0.000 1
P1 0.500 0.500 0.500 1
Os1 0.000 0.000 0.500 1
```